A plane-wave DFT calculation with PBE was carried out for a relaxed structure of Pr3CoRh.

extended XYZ file:
```
10
Lattice="3.916 0.002 0.000 -1.953 7.831 0.406 0.000 0.125 8.402" Properties=species:S:1:pos:R:3 pbc="T T T"
Pr 1.900 2.311 6.493
Pr -0.066 6.907 5.921
Pr 1.897 7.606 0.694
Pr 1.896 4.848 3.602
Rh 1.895 2.186 1.294
Co -0.060 4.052 5.748
Pr -0.062 4.245 0.409
Co 1.895 5.164 6.663
Pr -0.062 1.489 3.319
Rh -0.061 6.908 2.719
```

SG: No. 2
Distance to the lowest polymorph of the same formula (meV/atom): 27.7
Formation energy from the elements (eV/f.u.): -1.35
E (eV/cell): -60.30

=====

A plane-wave DFT calculation with PBE was carried out for a relaxed structure of Pr6CoRh2.

extended XYZ file:
```
18
Lattice="-0.250 0.387 6.750 2.871 -6.887 0.501 9.395 3.958 0.561" Properties=species:S:1:pos:R:3 pbc="T T T"
Rh 7.125 2.295 3.485
Pr 3.833 -2.666 2.721
Pr 2.365 -4.083 5.974
Rh 3.081 -1.359 6.716
Rh 4.892 -4.838 4.326
Pr 5.755 -2.677 6.172
Pr 2.460 0.714 1.234
Pr 7.603 -3.294 2.952
Pr 9.557 -3.257 6.578
Pr 8.184 0.123 5.090
Co 4.698 1.979 0.280
Pr 4.413 0.750 4.860
Rh 8.935 -1.184 1.096
Pr 9.651 1.540 1.838
Pr 6.262 0.134 1.640
Pr 1.039 -0.692 4.664
Pr 10.977 -1.851 3.147
Co 1.311 -3.250 3.625
```

SG: No. 14
Formation energy from the elements (eV/f.u.): -3.03
E (eV/cell): -107.03